The following is a DFT calculation (PBE) of a relaxed CsCa3Ge crystal.

a b c (Å): 5.755 5.755 5.755
angles (deg): 90.00 90.00 90.00
Space group Pm-3m (No. 221)
One atom of each set of equivalent atoms:
Cs (0.000, 0.000, 0.000)
Ca (0.000, 0.000, 0.500)
Ge (0.500, 0.500, 0.500)

Summary:
The calculation puts the energy relative to the elements at 1214.3 meV per atom.

The following is a DFT calculation (PBE) of a relaxed MnAsCl2 crystal.

a b c (Å): 3.3786 3.3786 34.1845
angles (deg): 90.00 90.00 120.00
Space group R-3m (No. 166, hexagonal axes)
One atom of each set of equivalent atoms:
Mn (0.0000, 0.0000, 0.0000)
As (0.0000, 0.0000, 0.5000)
Cl (0.0000, 0.0000, 0.3784)

Summary:
The value obtained for the energy relative to the elements, uncorrected is -284.0 meV per atom.

The following is a DFT calculation (PBE) of a relaxed Co2SnCl crystal.

a b c (Å): 6.277 6.277 6.277
angles (deg): 90.00 90.00 90.00
Space group Fm-3m (No. 225)
One atom of each set of equivalent atoms:
Co (0.250, 0.250, 0.250)
Sn (0.000, 0.000, 0.000)
Cl (0.000, 0.000, 0.500)

Summary:
The value obtained for the energy relative to the elements, uncorrected is 568.1 meV per atom.

| no. | ΔE to the lowest computed polymorph (meV/atom) |
| --- | --- |
| 1 | 1313.0 |
| 2 | 135.8 |
| 3 | 191.9 |